Compound: SiTcP2
Source: the Alexandria database
Functional: PBE
Structure: optimized geometry

Unit cell a=3.032 b=4.136 c=4.440 alpha=90.00 beta=90.00 gamma=90.00
Element x y z (fractional)
Si 0.000 0.000 0.000
Tc 0.500 0.500 0.000
P 0.000 0.500 0.500
P 0.500 0.000 0.500

Output
E	-0.2303	hartree per atom
formation energy (no corrections)	1.5	eV per formula unit
space-group type	Pmmm, No. 47
DOS(E_F)	2.7	states/eV/cell

Compound: SiTcP2
Source: the Alexandria database
Functional: PBE
Structure: optimized geometry

Unit cell a=4.630 b=4.630 c=4.630 alpha=139.22 beta=118.94 gamma=76.05
Element x y z (fractional)
Si 0.000 0.000 0.000
Tc 0.500 0.500 0.000
P 0.226 0.726 0.500
P 0.774 0.274 0.500

Output
E	-0.2379	hartree per atom
formation energy (no corrections)	0.7	eV per formula unit
space-group type	Immm, No. 71
DOS(E_F)	2.0	states/eV/cell

Number 1: M_tot 0.000 μB/atom. Number 2: M_tot 0.000 μB/atom.